# 1
# Pm6HoGe4 | Alexandria via LeMat-Bulk | PBE | relaxed
data_Pm6HoGe4
_symmetry_space_group_name_H-M 'P 1'
_symmetry_Int_Tables_number 1
_cell_length_a 9.3145
_cell_length_b 9.3145
_cell_length_c 4.0675
_cell_angle_alpha 90.00
_cell_angle_beta 90.00
_cell_angle_gamma 120.00
loop_
_symmetry_equiv_pos_as_xyz
'x,y,z'
loop_
_atom_site_label
_atom_site_fract_x
_atom_site_fract_y
_atom_site_fract_z
Pm1 0.0575 0.5288 0.0000
Pm2 0.1251 0.2502 0.5000
Pm3 0.1251 0.8749 0.5000
Pm4 0.4712 0.5288 0.0000
Pm5 0.4712 0.9425 0.0000
Pm6 0.7498 0.8749 0.5000
Ho1 0.6667 0.3333 0.5000
Ge1 0.3333 0.6667 0.5000
Ge2 0.3434 0.1717 0.0000
Ge3 0.8283 0.1717 0.0000
Ge4 0.8283 0.6566 0.0000
# * energy of formation: -53.8 kJ per mole of atoms
# * magnetization: 0.02 μB/cell
# * D(E_F): 12.86 states/eV/cell

# 2
# Pm5HoGe6 | Alexandria via LeMat-Bulk | PBE | relaxed
data_Pm5HoGe6
_symmetry_space_group_name_H-M 'P 1'
_symmetry_Int_Tables_number 1
_cell_length_a 7.3320
_cell_length_b 7.3320
_cell_length_c 7.3352
_cell_angle_alpha 99.56
_cell_angle_beta 99.56
_cell_angle_gamma 119.65
loop_
_symmetry_equiv_pos_as_xyz
'x,y,z'
loop_
_atom_site_label
_atom_site_fract_x
_atom_site_fract_y
_atom_site_fract_z
Pm1 0.0000 0.0000 0.0000
Pm2 0.1664 0.8336 0.5000
Pm3 0.3316 0.6684 0.0000
Pm4 0.6684 0.3316 0.0000
Pm5 0.8336 0.1664 0.5000
Ho1 0.5000 0.5000 0.5000
Ge1 0.0895 0.4180 0.2536
Ge2 0.2546 0.2546 0.7487
Ge3 0.4180 0.0895 0.2536
Ge4 0.5820 0.9105 0.7464
Ge5 0.7454 0.7454 0.2513
Ge6 0.9105 0.5820 0.7464
# * energy of formation: -63.6 kJ per mole of atoms
# * magnetization: 0.00 μB/cell
# * D(E_F): 11.37 states/eV/cell